(1)
! GGA-PBEsol Mn2AlRh, relaxed; values from VASP
&SYSTEM
  ibrav = 0, nat = 4, ntyp = 3
/
ATOMIC_SPECIES
Mn 54.94 Mn.upf
Rh 102.91 Rh.upf
Al 26.98 Al.upf
ATOMIC_POSITIONS crystal
Mn 0.250 0.250 0.499
Mn 0.750 0.750 0.501
Rh 0.500 0.000 0.000
Al 0.000 0.500 0.000
CELL_PARAMETERS angstrom
2.825 0.000 0.000
0.000 4.063 0.000
-1.412 -2.031 4.246
! - space-group type = Immm (71)
! - magnetization (μB per atom) = 0.83
! - E_tot (eV/atom) = -8.122
! - formation energy (kJ/mol of formula units) = -70.9

(2)
! GGA-PBEsol IrPtAu2, relaxed; values from VASP
&SYSTEM
  ibrav = 0, nat = 4, ntyp = 3
/
ATOMIC_SPECIES
Pt 195.08 Pt.upf
Au 196.97 Au.upf
Ir 192.22 Ir.upf
ATOMIC_POSITIONS crystal
Pt 0.750 0.750 0.750
Au 0.250 0.250 0.250
Au 0.000 0.000 0.000
Ir 0.500 0.500 0.500
CELL_PARAMETERS angstrom
-4.010 1.877 0.627
-3.599 -2.576 0.639
-1.942 -0.169 4.024
! - space-group type = F-43m (216)
! - magnetization (μB per atom) = 0.00
! - E_tot (eV/atom) = -5.773
! - ΔE to the lowest computed polymorph (meV per atom) = 98
! - formation energy (kJ/mol of formula units) = 148.9

(3)
! GGA-PBEsol Zr2AgAu, relaxed; values from VASP
&SYSTEM
  ibrav = 0, nat = 4, ntyp = 3
/
ATOMIC_SPECIES
Ag 107.87 Ag.upf
Zr 91.22 Zr.upf
Au 196.97 Au.upf
ATOMIC_POSITIONS crystal
Ag 0.375 0.000 0.448
Zr 0.874 0.500 0.320
Zr 0.876 0.000 0.930
Au 0.375 0.500 0.802
CELL_PARAMETERS angstrom
2.979 0.000 0.020
0.000 4.868 0.000
-0.039 0.000 5.197
! - space-group type = Pmm2 (25)
! - magnetization (μB per atom) = 0.04
! - E_tot (eV/atom) = -6.659
! - formation energy (kJ/mol of formula units) = -117.8

(4)
! GGA-PBEsol RbHfB3, relaxed; values from VASP
&SYSTEM
  ibrav = 0, nat = 5, ntyp = 3
/
ATOMIC_SPECIES
Hf 178.49 Hf.upf
B 10.81 B.upf
Rb 85.47 Rb.upf
ATOMIC_POSITIONS crystal
Hf 0.000 0.000 0.000
B 0.000 0.000 0.500
B 0.500 0.000 0.000
B 0.000 0.500 0.000
Rb 0.500 0.500 0.500
CELL_PARAMETERS angstrom
4.643 0.000 0.000
0.000 4.643 0.000
0.000 0.000 4.643
! - space-group type = Pm-3m (221)
! - magnetization (μB per atom) = 0.01
! - E_tot (eV/atom) = -4.964
! - formation energy (kJ/mol of formula units) = 748.4

(5)
! GGA-PBEsol Cd2MoW, relaxed; values from VASP
&SYSTEM
  ibrav = 0, nat = 4, ntyp = 3
/
ATOMIC_SPECIES
Cd 112.41 Cd.upf
Mo 95.94 Mo.upf
W 183.84 W.upf
ATOMIC_POSITIONS crystal
Cd 0.500 0.500 0.247
Cd 0.000 0.000 0.003
Mo 0.000 0.000 0.524
W 0.500 0.500 0.726
CELL_PARAMETERS angstrom
-2.243 -0.189 1.523
2.374 -1.309 3.335
0.693 5.637 1.720
! - space-group type = Pmm2 (25)
! - magnetization (μB per atom) = 0.00
! - E_tot (eV/atom) = -6.479
! - ΔE to the lowest computed polymorph (meV per atom) = 52
! - formation energy (kJ/mol of formula units) = 198.3

(6)
! GGA-PBEsol CuTcTe2I, relaxed; values from VASP
&SYSTEM
  ibrav = 0, nat = 5, ntyp = 4
/
ATOMIC_SPECIES
Te 127.60 Te.upf
Tc 98.00 Tc.upf
I 126.90 I.upf
Cu 63.55 Cu.upf
ATOMIC_POSITIONS crystal
Te 0.000 0.500 0.000
Te 0.500 0.000 0.000
Tc 0.500 0.500 0.500
I 0.000 0.000 0.500
Cu 0.000 0.000 0.000
CELL_PARAMETERS angstrom
5.083 0.000 0.000
0.000 5.083 0.000
0.000 0.000 5.164
! - space-group type = P4/mmm (123)
! - magnetization (μB per atom) = 0.90
! - E_tot (eV/atom) = -3.751
! - formation energy without anion corrections (eV per atom) = 1.13

(7)
! GGA-PBEsol KMoP2O8, relaxed; values from VASP
&SYSTEM
  ibrav = 0, nat = 48, ntyp = 4
/
ATOMIC_SPECIES
O 16.00 O.upf
K 39.10 K.upf
P 30.97 P.upf
Mo 95.94 Mo.upf
ATOMIC_POSITIONS crystal
O 0.459 0.148 0.026
O 0.683 0.692 0.136
O 0.959 0.648 0.474
O 0.569 0.316 0.471
O 0.218 0.786 0.826
O 0.932 0.385 0.288
O 0.724 0.081 0.586
O 0.776 0.419 0.086
O 0.568 0.115 0.788
O 0.431 0.684 0.529
O 0.953 0.859 0.262
O 0.809 0.016 0.104
O 0.817 0.808 0.636
O 0.191 0.984 0.896
O 0.041 0.352 0.526
O 0.069 0.816 0.029
O 0.224 0.581 0.914
O 0.068 0.615 0.712
O 0.718 0.286 0.674
O 0.317 0.308 0.864
O 0.453 0.359 0.238
O 0.282 0.714 0.326
O 0.309 0.516 0.396
O 0.047 0.141 0.738
O 0.931 0.184 0.971
O 0.691 0.484 0.604
O 0.183 0.192 0.364
O 0.276 0.919 0.414
O 0.432 0.885 0.212
O 0.782 0.214 0.174
O 0.541 0.852 0.974
O 0.547 0.641 0.762
K 0.272 0.949 0.633
K 0.772 0.449 0.867
K 0.228 0.551 0.133
K 0.728 0.051 0.367
P 0.246 0.635 0.438
P 0.737 0.352 0.193
P 0.263 0.648 0.807
P 0.746 0.135 0.062
P 0.254 0.865 0.938
P 0.763 0.148 0.693
P 0.754 0.365 0.562
P 0.237 0.852 0.307
Mo 0.759 0.666 0.620
Mo 0.259 0.166 0.880
Mo 0.241 0.334 0.380
Mo 0.741 0.834 0.120
CELL_PARAMETERS angstrom
-2.617 -0.888 4.289
4.105 -10.816 -0.013
9.244 3.500 6.364
! - space-group type = P2_1/c (14)
! - magnetization (μB per atom) = 0.08
! - E_tot (eV/atom) = -7.709
! - formation energy without anion corrections (eV per atom) = -2.17

(8)
! GGA-PBEsol Be2SeCl, relaxed; values from VASP
&SYSTEM
  ibrav = 0, nat = 4, ntyp = 3
/
ATOMIC_SPECIES
Cl 35.45 Cl.upf
Be 9.01 Be.upf
Se 78.96 Se.upf
ATOMIC_POSITIONS crystal
Cl 0.588 0.412 0.412
Be 0.987 0.013 0.013
Be 0.247 0.253 0.253
Se 0.678 0.822 0.822
CELL_PARAMETERS angstrom
-2.142 1.750 0.797
-4.779 -3.331 -0.331
-0.793 -1.181 5.659
! - space-group type = Imm2 (44)
! - magnetization (μB per atom) = 0.00
! - E_tot (eV/atom) = -3.453
! - ΔE to the lowest computed polymorph (meV per atom) = 329
! - formation energy without anion corrections (eV per atom) = 0.01